A | DFT (PBE-GGA) results for Sr2HgPdPt after structural relaxation.

Lattice parameters (Å, degrees): 5.945 4.926 5.945 90.00 90.00 90.00
Element x y z (fractional)
Sr 0.000 0.000 0.500
Sr 0.500 0.000 0.000
Pd 0.000 0.500 0.000
Hg 0.000 0.000 0.000
Pt 0.500 0.500 0.500

---

B | DFT (PBE-GGA) results for Sr2HgPdPt after structural relaxation.

Lattice parameters (Å, degrees): 5.947 5.006 5.947 90.00 90.00 90.00
Element x y z (fractional)
Sr 0.000 0.000 0.500
Sr 0.500 0.000 0.000
Pd 0.500 0.500 0.500
Hg 0.000 0.000 0.000
Pt 0.000 0.500 0.000

---

Energetically preferred structure: B | next structure: +27 meV per atom

---

A | DFT (PBE-GGA) results for TlHgPdPt2 after structural relaxation.

Lattice parameters (Å, degrees): 5.003 5.114 5.003 90.00 90.00 90.00
Site moments in Bohr magnetons follow the coordinates.
Element x y z (fractional)
Tl 0.500 0.500 0.500  0.01
Pd 0.000 0.000 0.000  0.16
Hg 0.000 0.500 0.000  0.00
Pt 0.000 0.000 0.500  0.37
Pt 0.500 0.000 0.000  0.19

---

B | DFT (PBE-GGA) results for TlHgPdPt2 after structural relaxation.

Lattice parameters (Å, degrees): 5.008 5.073 5.008 90.00 90.00 90.00
Element x y z (fractional)
Tl 0.000 0.500 0.000
Pd 0.000 0.000 0.000
Hg 0.500 0.500 0.500
Pt 0.000 0.000 0.500
Pt 0.500 0.000 0.000

---

Energetically preferred structure: A | next structure: +81 meV per atom

---

A | DFT (PBE-GGA) results for Pu3Hg2Pd3 after structural relaxation.

Lattice parameters (Å, degrees): 5.834 8.432 8.432 120.00 90.00 90.00
Site moments in Bohr magnetons follow the coordinates.
Element x y z (fractional)
Pu 0.750 0.259 0.000  5.44
Pu 0.750 0.741 0.741  5.44
Pu 0.750 0.000 0.259  5.44
Pu 0.250 0.741 0.000  5.44
Pu 0.250 0.259 0.259  5.44
Pu 0.250 0.000 0.741  5.44
Hg 0.000 0.333 0.667  0.01
Hg 0.500 0.667 0.333  0.01
Hg 0.000 0.667 0.333  0.01
Hg 0.500 0.333 0.667  0.01
Pd 0.750 0.605 0.000  -0.03
Pd 0.750 0.395 0.395  -0.03
Pd 0.750 0.000 0.605  -0.03
Pd 0.250 0.395 0.000  -0.03
Pd 0.250 0.605 0.605  -0.03
Pd 0.250 0.000 0.395  -0.03

---

B | DFT (PBE-GGA) results for Pu3Hg2Pd3 after structural relaxation.

Lattice parameters (Å, degrees): 3.633 4.981 10.378 103.88 100.08 90.00
Site moments in Bohr magnetons follow the coordinates.
Element x y z (fractional)
Pu 0.624 0.624 0.248  5.38
Pu 0.376 0.376 0.752  5.38
Pu 0.500 0.000 0.000  5.22
Hg 0.735 0.235 0.470  0.01
Hg 0.265 0.765 0.530  0.01
Pd 0.118 0.118 0.236  -0.04
Pd 0.000 0.500 0.000  -0.04
Pd 0.882 0.882 0.764  -0.04

---

Energetically preferred structure: B | next structure: +19 meV per atom

---

A | DFT (PBE-GGA) results for Pu3HgPd2 after structural relaxation.

Lattice parameters (Å, degrees): 3.850 3.850 9.261 90.00 90.00 90.00
Site moments in Bohr magnetons follow the coordinates.
Element x y z (fractional)
Pu 0.000 0.000 0.000  5.51
Pu 0.000 0.000 0.680  5.52
Pu 0.000 0.000 0.320  5.52
Hg 0.500 0.500 0.500  0.05
Pd 0.500 0.500 0.840  0.01
Pd 0.500 0.500 0.160  0.01

---

B | DFT (PBE-GGA) results for Pu3HgPd2 after structural relaxation.

Lattice parameters (Å, degrees): 3.485 3.485 11.501 90.00 90.00 90.00
Site moments in Bohr magnetons follow the coordinates.
Element x y z (fractional)
Pu 0.000 0.000 0.000  5.33
Pu 0.000 0.000 0.691  5.45
Pu 0.000 0.000 0.309  5.45
Hg 0.500 0.500 0.500  0.02
Pd 0.500 0.500 0.845  -0.03
Pd 0.500 0.500 0.155  -0.03

---

Energetically preferred structure: B | next structure: +9 meV per atom

---

A | DFT (PBE-GGA) results for Pu2Hg3Pd2 after structural relaxation.

Lattice parameters (Å, degrees): 4.163 3.593 11.854 90.00 100.05 90.00
Site moments in Bohr magnetons follow the coordinates.
Element x y z (fractional)
Pu 0.419 0.500 0.839  5.32
Pu 0.581 0.500 0.161  5.32
Hg 0.294 0.000 0.588  0.00
Hg 0.000 0.000 0.000  0.03
Hg 0.706 0.000 0.412  0.00
Pd 0.125 0.000 0.250  -0.06
Pd 0.875 0.000 0.750  -0.06

---

B | DFT (PBE-GGA) results for Pu2Hg3Pd2 after structural relaxation.

Lattice parameters (Å, degrees): 4.407 5.532 7.552 107.50 90.00 113.47
Site moments in Bohr magnetons follow the coordinates.
Element x y z (fractional)
Pu 0.861 0.723 0.219  5.38
Pu 0.139 0.277 0.781  5.38
Hg 0.500 0.000 0.000  0.02
Hg 0.627 0.255 0.442  0.01
Hg 0.373 0.745 0.558  0.01
Pd 0.844 0.688 0.805  -0.04
Pd 0.156 0.312 0.195  -0.04

---

Energetically preferred structure: B | next structure: +117 meV per atom

---

A | DFT (PBE-GGA) results for RbHgPd3 after structural relaxation.

Lattice parameters (Å, degrees): 5.211 5.211 5.211 90.00 90.00 90.00
Element x y z (fractional)
Rb 0.500 0.500 0.500
Hg 0.000 0.000 0.000
Pd 0.000 0.500 0.000
Pd 0.000 0.000 0.500
Pd 0.500 0.000 0.000

---

B | DFT (PBE-GGA) results for RbHgPd3 after structural relaxation.

Lattice parameters (Å, degrees): 5.201 5.201 5.201 90.00 90.00 90.00
Element x y z (fractional)
Rb 0.000 0.000 0.000
Hg 0.500 0.500 0.500
Pd 0.000 0.500 0.000
Pd 0.000 0.000 0.500
Pd 0.500 0.000 0.000

---

Energetically preferred structure: A | next structure: +840 meV per atom